LiNdYLu after structural relaxation, computed with PBE-GGA.

Cell: 7.7834 7.7834 7.7834 Å, 90.00 90.00 90.00°
Space group F-43m (No. 216)
Asymmetric unit:
1 Li 0.0000 0.0000 0.0000 (multiplicity 4)
2 Nd 0.2500 0.2500 0.7500 (multiplicity 4)
3 Y 0.2500 0.2500 0.2500 (multiplicity 4)
4 Lu 0.0000 0.0000 0.5000 (multiplicity 4)

Properties
E_form in eV per atom: 0.15